# 1
Here is crystalline Ac2MnGaPd6 at its relaxed geometry from the Alexandria database. Energies are from PBE.

It has space group R-3m (No. 166, hexagonal axes), with a = 5.9190 Å, b = 5.9190 Å, c = 22.2532 Å, α = 90.00°, β = 90.00° and γ = 120.00°. The distinct sites, in fractional coordinates, are Ac at (0.0000, 0.0000, 0.2228), Mn at (0.0000, 0.0000, 0.5000), Ga at (0.0000, 0.0000, 0.0000) and Pd at (0.0046, 0.5023, 0.2533).

The formation enthalpy at 0 K is -0.515 eV/atom. The calculated total energy comes out at -170.2 eV/cell.


# 2
Here is crystalline CeDy2PaCo2 at its relaxed geometry from the Alexandria database. Energies are from PBE.

It has space group Ibam (No. 72), with a = 6.926 Å, b = 12.141 Å, c = 6.843 Å, α = 90.00°, β = 90.00° and γ = 90.00°. The distinct sites, in fractional coordinates, are Ce at (0.000, 0.000, 0.250), Dy at (0.219, 0.299, 0.000), Pa at (0.000, 0.500, 0.250) and Co at (0.228, 0.425, 0.500).

The formation enthalpy at 0 K is -0.163 eV/atom. The calculated total energy comes out at -159.3 eV/cell.


# 3
Here is crystalline LaCoCl2 at its relaxed geometry from the Alexandria database. Energies are from PBE.

It has space group Immm (No. 71), with a = 3.627 Å, b = 5.080 Å, c = 8.984 Å, α = 90.00°, β = 90.00° and γ = 90.00°. The distinct sites, in fractional coordinates, are La at (0.000, 0.000, 0.000), Co at (0.000, 0.000, 0.500) and Cl at (0.000, 0.500, 0.176).

The calculation puts the energy above the most stable polymorph in this dataset at 216 meV/atom. As for the uncorrected formation energy: -0.90 eV/atom. The calculated total energy comes out at -38.7 eV/cell.


# 4
Here is crystalline TaHg3W at its relaxed geometry from the Alexandria database. Energies are from PBE.

It has space group Pm-3m (No. 221), with a = 5.342 Å, b = 5.342 Å, c = 5.342 Å, α = 90.00°, β = 90.00° and γ = 90.00°. The distinct sites, in fractional coordinates, are Ta at (0.000, 0.000, 0.000), Hg at (0.000, 0.000, 0.500) and W at (0.500, 0.500, 0.500).

The calculation puts the energy above the most stable polymorph in this dataset at 0 meV/atom. The formation enthalpy at 0 K is 2.022 eV/atom. The calculated total energy comes out at -15.6 eV/cell.


# 5
Here is crystalline K2H2F5 at its relaxed geometry from the Alexandria database. Energies are from PBE.

It has space group Ima2 (No. 46), with a = 16.140 Å, b = 6.338 Å, c = 5.012 Å, α = 90.00°, β = 90.00° and γ = 90.00°. The distinct sites, in fractional coordinates, are K at (0.124, 0.006, 0.000), H at (0.000, 0.000, 0.561), H at (0.250, 0.601, 0.998), F at (0.012, 0.178, 0.570), F at (0.179, 0.607, 0.998) and F at (0.250, 0.249, 0.750).

The calculated total energy comes out at -143.5 eV/cell.


# 6
Here is crystalline La2Ga2W at its relaxed geometry from the Alexandria database. Energies are from PBE.

It has space group P4/mbm (No. 127), with a = 7.215 Å, b = 7.215 Å, c = 4.595 Å, α = 90.00°, β = 90.00° and γ = 90.00°. The distinct sites, in fractional coordinates, are La at (0.166, 0.334, 0.000), Ga at (0.143, 0.643, 0.500) and W at (0.000, 0.000, 0.500).

The calculation puts the energy above the most stable polymorph in this dataset at 0 meV/atom. The formation enthalpy at 0 K is 0.019 eV/atom. The calculated total energy comes out at -57.5 eV/cell.


Question: Which formula does entry 2 have?
Answer: CeDy2PaCo2